Record 1
# PmNdFeCu PBE optimized geometry
# total moment = 0.284 μB per atom
# space group = No. 216
# crystal system = cubic
# DOS(E_F) = 5.9 states/eV per cell
data_PmNdFeCu
_space_group_name_H-M_alt 'P 1'
_space_group_IT_number 1
_space_group_name_Hall 'P 1'
_cell_length_a 4.9868
_cell_length_b 4.9868
_cell_length_c 4.9868
_cell_angle_alpha 60.00
_cell_angle_beta 60.00
_cell_angle_gamma 60.00
loop_
_atom_site_label
_atom_site_type_symbol
_atom_site_fract_x
_atom_site_fract_y
_atom_site_fract_z
Nd1 Nd 0.0000 0.0000 0.0000
Fe1 Fe 0.7500 0.7500 0.7500
Cu1 Cu 0.2500 0.2500 0.2500
Pm1 Pm 0.5000 0.5000 0.5000


Record 2
# NdSmFeCu PBE optimized geometry
# total moment = 0.286 μB per atom
# space group = No. 216
# crystal system = cubic
# DOS(E_F) = 6.0 states/eV per cell
data_NdSmFeCu
_space_group_name_H-M_alt 'P 1'
_space_group_IT_number 1
_space_group_name_Hall 'P 1'
_cell_length_a 4.9732
_cell_length_b 4.9732
_cell_length_c 4.9732
_cell_angle_alpha 60.00
_cell_angle_beta 60.00
_cell_angle_gamma 60.00
loop_
_atom_site_label
_atom_site_type_symbol
_atom_site_fract_x
_atom_site_fract_y
_atom_site_fract_z
Nd1 Nd 0.5000 0.5000 0.5000
Cu1 Cu 0.2500 0.2500 0.2500
Sm1 Sm 0.0000 0.0000 0.0000
Fe1 Fe 0.7500 0.7500 0.7500


Record 3
# TbNdFeCu PBE optimized geometry
# total moment = 0.290 μB per atom
# space group = No. 216
# crystal system = cubic
# DOS(E_F) = 6.4 states/eV per cell
data_TbNdFeCu
_space_group_name_H-M_alt 'P 1'
_space_group_IT_number 1
_space_group_name_Hall 'P 1'
_cell_length_a 4.9307
_cell_length_b 4.9307
_cell_length_c 4.9307
_cell_angle_alpha 60.00
_cell_angle_beta 60.00
_cell_angle_gamma 60.00
loop_
_atom_site_label
_atom_site_type_symbol
_atom_site_fract_x
_atom_site_fract_y
_atom_site_fract_z
Nd1 Nd 0.0000 0.0000 0.0000
Tb1 Tb 0.5000 0.5000 0.5000
Fe1 Fe 0.7500 0.7500 0.7500
Cu1 Cu 0.2500 0.2500 0.2500


Record 4
# NdYFeCu PBE optimized geometry
# total moment = 0.300 μB per atom
# space group = No. 216
# crystal system = cubic
# DOS(E_F) = 6.8 states/eV per cell
data_NdYFeCu
_space_group_name_H-M_alt 'P 1'
_space_group_IT_number 1
_space_group_name_Hall 'P 1'
_cell_length_a 4.9351
_cell_length_b 4.9351
_cell_length_c 4.9351
_cell_angle_alpha 60.00
_cell_angle_beta 60.00
_cell_angle_gamma 60.00
loop_
_atom_site_label
_atom_site_type_symbol
_atom_site_fract_x
_atom_site_fract_y
_atom_site_fract_z
Y1 Y 0.2500 0.2500 0.2500
Nd1 Nd 0.7500 0.7500 0.7500
Fe1 Fe 0.5000 0.5000 0.5000
Cu1 Cu 0.0000 0.0000 0.0000


One value per record, in order, for E_tot: -5.4298, -5.4293, -5.4344, -5.8917 eV per atom.